a.
Material: Nb2HSe
Method: DFT, PBE
State: optimized geometry

Calculated density = 6.73 g/cm3

Unit cell a=5.073 b=5.073 c=10.191 alpha=90.00 beta=90.00 gamma=90.00
Space group I-42d (No. 122)
Unique sites:
1 Nb 0.146 0.250 0.125 x8
2 H 0.000 0.000 0.000 x4
3 Se 0.000 0.000 0.500 x4



b.
Material: Nb2HSe
Method: DFT, PBE
State: optimized geometry

Calculated density = 7.62 g/cm3

Unit cell a=6.141 b=6.141 c=6.141 alpha=90.00 beta=90.00 gamma=90.00
Space group Fm-3m (No. 225)
Unique sites:
1 Nb 0.250 0.250 0.250 x8
2 H 0.000 0.000 0.000 x4
3 Se 0.000 0.000 0.500 x4



What should be chosen as the most stable of them? Choose a.



a.
Material: Nb3SiH
Method: DFT, PBE
State: optimized geometry

Calculated density = 7.18 g/cm3

Unit cell a=3.517 b=5.311 c=8.425 alpha=105.81 beta=90.25 gamma=109.02
Space group P-1 (No. 2)
Unique sites:
1 Nb 0.094 0.187 0.195 x2
2 Nb 0.169 0.336 0.621 x2
3 Nb 0.372 0.737 0.076 x2
4 Si 0.449 0.902 0.612 x2
5 H 0.094 0.517 0.850 x2



b.
Material: Nb3SiH
Method: DFT, PBE
State: optimized geometry

Calculated density = 7.29 g/cm3

Unit cell a=4.123 b=4.123 c=4.123 alpha=90.00 beta=90.00 gamma=90.00
Space group Pm-3m (No. 221)
Unique sites:
1 Nb 0.000 0.000 0.500 x3
2 Si 0.500 0.500 0.500 x1
3 H 0.000 0.000 0.000 x1



What should be chosen as the most stable of them? Choose a.



a.
Material: Nb2SiH
Method: DFT, PBE
State: optimized geometry

Calculated density = 5.24 g/cm3

Unit cell a=3.5060 b=3.5060 c=19.2026 alpha=90.00 beta=90.00 gamma=120.00
Space group R-3m (No. 166, hexagonal axes)
Unique sites:
1 Nb 0.0000 0.0000 0.0927 x6
2 Si 0.0000 0.0000 0.5000 x3
3 H 0.0000 0.0000 0.0000 x3



b.
Material: Nb2SiH
Method: DFT, PBE
State: optimized geometry

Calculated density = 6.36 g/cm3

Unit cell a=6.077 b=6.077 c=6.077 alpha=90.00 beta=90.00 gamma=90.00
Space group Fm-3m (No. 225)
Unique sites:
1 Nb 0.250 0.250 0.250 x8
2 Si 0.000 0.000 0.000 x4
3 H 0.000 0.000 0.500 x4



c.
Material: Nb2SiH
Method: DFT, PBE
State: optimized geometry

Calculated density = 6.60 g/cm3

Unit cell a=6.061 b=6.061 c=5.890 alpha=90.00 beta=90.00 gamma=90.00
Space group I-42d (No. 122)
Unique sites:
1 Nb 0.170 0.250 0.125 x8
2 Si 0.000 0.000 0.500 x4
3 H 0.000 0.000 0.000 x4



What should be chosen as the most stable of them? Choose c.



a.
Material: NbSi3H
Method: DFT, PBE
State: optimized geometry

Calculated density = 4.79 g/cm3

Unit cell a=3.953 b=3.953 c=3.953 alpha=90.00 beta=90.00 gamma=90.00
Space group Pm-3m (No. 221)
Unique sites:
1 Nb 0.000 0.000 0.000 x1
2 Si 0.000 0.500 0.500 x3
3 H 0.500 0.500 0.500 x1



b.
Material: NbSi3H
Method: DFT, PBE
State: optimized geometry

Calculated density = 2.52 g/cm3

Unit cell a=4.896 b=4.896 c=4.896 alpha=90.00 beta=90.00 gamma=90.00
Space group Pm-3m (No. 221)
Unique sites:
1 Nb 0.000 0.000 0.000 x1
2 Si 0.000 0.000 0.500 x3
3 H 0.500 0.500 0.500 x1



What should be chosen as the most stable of them? Choose a.



a.
Material: Nb2SnH
Method: DFT, PBE
State: optimized geometry

Calculated density = 8.05 g/cm3

Unit cell a=3.2960 b=3.2960 c=20.0890 alpha=90.00 beta=90.00 gamma=120.00
Space group R-3m (No. 166, hexagonal axes)
Unique sites:
1 Nb 0.0000 0.0000 0.2164 x6
2 Sn 0.0000 0.0000 0.0000 x3
3 H 0.0000 0.0000 0.5000 x3



b.
Material: Nb2SnH
Method: DFT, PBE
State: optimized geometry

Calculated density = 7.31 g/cm3

Unit cell a=5.474 b=5.474 c=9.269 alpha=90.00 beta=90.00 gamma=90.00
Space group I4_1/amd (No. 141, origin choice 2)
Unique sites:
1 Nb 0.000 0.000 0.000 x8
2 Sn 0.000 0.250 0.375 x4
3 H 0.000 0.250 0.875 x4



What should be chosen as the most stable of them? Choose a.



a.
Material: NbSnH
Method: DFT, PBE
State: optimized geometry

Calculated density = 7.83 g/cm3

Unit cell a=5.030 b=3.555 c=5.521 alpha=90.00 beta=113.98 gamma=90.00
Space group Cm (No. 8)
Unique sites:
1 Nb 0.000 0.000 0.000 x2
2 Sn 0.058 0.500 0.460 x2
3 H 0.317 0.000 0.877 x2



b.
Material: NbSnH
Method: DFT, PBE
State: optimized geometry

Calculated density = 7.24 g/cm3

Unit cell a=3.469 b=16.044 c=3.502 alpha=90.00 beta=90.00 gamma=90.00
Space group Cmcm (No. 63)
Unique sites:
1 Nb 0.000 0.197 0.250 x4
2 Sn 0.000 0.413 0.250 x4
3 H 0.000 0.248 0.750 x4



c.
Material: NbSnH
Method: DFT, PBE
State: optimized geometry

Calculated density = 7.58 g/cm3

Unit cell a=5.376 b=3.279 c=5.605 alpha=90.00 beta=109.40 gamma=90.00
Space group Cm (No. 8)
Unique sites:
1 Nb 0.000 0.000 0.000 x2
2 Sn 0.316 0.500 0.446 x2
3 H 0.299 0.000 0.876 x2



d.
Material: NbSnH
Method: DFT, PBE
State: optimized geometry

Calculated density = 8.05 g/cm3

Unit cell a=3.560 b=4.877 c=5.055 alpha=90.00 beta=90.00 gamma=90.00
Space group Amm2 (No. 38)
Unique sites:
1 Nb 0.000 0.000 0.000 x2
2 Sn 0.500 0.000 0.467 x2
3 H 0.500 0.000 0.899 x2



What should be chosen as the most stable of them? Choose b.